No. 1
# Ca2AcY

A relaxed Ca2AcY crystal (PBE, Alexandria via LeMat-Bulk).

Lattice parameters (Å, degrees): 4.2649 4.2649 8.6231 90.00 90.00 90.00
Last column: nearest neighbours and their distance in Å.
Space group P4/mmm (No. 123)
Asymmetric unit:
Ca: 0.0000 0.0000 0.2303 (multiplicity 2)  4 Y 3.61, 4 Ac 3.81, 1 Ca 3.97
Ac: 0.5000 0.5000 0.5000 (multiplicity 1)  8 Ca 3.81, 4 Ac 4.26
Y: 0.5000 0.5000 0.0000 (multiplicity 1)  8 Ca 3.61

Properties
- DFT formation energy (eV per atom) = 0.11
- VASP energy (eV/atom) = -3.535

=====

No. 2
# CaAc5Y2

A relaxed CaAc5Y2 crystal (PBE, Alexandria via LeMat-Bulk).

Lattice parameters (Å, degrees): 12.5638 13.2794 7.8338 90.00 90.00 90.00
Last column: nearest neighbours and their distance in Å.
Space group Pbam (No. 55)
Asymmetric unit:
Ca: 0.2453 0.0810 0.0000 (multiplicity 4)  8 Ac 3.75-3.97, 4 Y 3.85-3.92
Ac: 0.0000 0.5000 0.2541 (multiplicity 4)  8 Ac 3.85-3.98, 2 Y 3.89, 2 Ca 3.92
Ac: 0.0022 0.2443 0.0000 (multiplicity 4)  2 Ca 3.75-3.97, 2 Y 3.83, 8 Ac 3.85-3.94
Ac: 0.0040 0.2440 0.5000 (multiplicity 4)  4 Y 3.72-3.98, 8 Ac 3.84-3.92
Ac: 0.2468 0.8344 0.2542 (multiplicity 8)  3 Y 3.80-3.86, 2 Ca 3.83-3.91, 7 Ac 3.84-3.98
Y: 0.0000 0.0000 0.2595 (multiplicity 4)  6 Ac 3.75-3.83, 4 Y 3.77-4.07, 2 Ca 3.85
Y: 0.2458 0.0827 0.5000 (multiplicity 4)  8 Ac 3.72-3.98, 2 Y 3.78, 2 Ca 3.92

Properties
- DFT formation energy (eV per atom) = 0.03
- VASP energy (eV/atom) = -4.403

=====

No. 3
# Ca3AcZn

A relaxed Ca3AcZn crystal (PBE, Alexandria via LeMat-Bulk).

Lattice parameters (Å, degrees): 5.8054 5.8054 5.8054 90.00 90.00 90.00
Last column: nearest neighbours and their distance in Å.
Space group Pm-3m (No. 221)
Asymmetric unit:
Ca: 0.0000 0.0000 0.5000 (multiplicity 3)  2 Zn 2.90
Ac: 0.5000 0.5000 0.5000 (multiplicity 1)  12 Ca 4.11
Zn: 0.0000 0.0000 0.0000 (multiplicity 1)  6 Ca 2.90

Properties
- DFT formation energy (eV per atom) = 0.05
- VASP energy (eV/atom) = -2.225